This record from the Alexandria database describes crystalline Ce3InSb at its relaxed geometry. The functional is PBE-GGA.

Results
As for the raw formation energy: -0.3460 eV/atom.

Cell and atoms, written as CIF:
```
data_Ce3InSb
_space_group_name_H-M_alt 'P 1'
_space_group_IT_number 1
_cell_length_a 6.6030
_cell_length_b 6.6030
_cell_length_c 16.0420
_cell_angle_alpha 94.47
_cell_angle_beta 94.47
_cell_angle_gamma 52.56
loop_
_space_group_symop_operation_xyz
'x,y,z'
loop_
_atom_site_label
_atom_site_type_symbol
_atom_site_fract_x
_atom_site_fract_y
_atom_site_fract_z
Ce1 Ce 0.0519 0.5227 0.5995
Ce2 Ce 0.0952 0.3573 0.8007
Ce3 Ce 0.1776 0.7940 0.9494
Ce4 Ce 0.2060 0.8224 0.5506
Ce5 Ce 0.3573 0.0952 0.3007
Ce6 Ce 0.4773 0.9481 0.9005
Ce7 Ce 0.5227 0.0519 0.0995
Ce8 Ce 0.6427 0.9048 0.6993
Ce9 Ce 0.7940 0.1776 0.4494
Ce10 Ce 0.8224 0.2060 0.0506
Ce11 Ce 0.9048 0.6427 0.1993
Ce12 Ce 0.9481 0.4773 0.4005
In1 In 0.2857 0.6576 0.3462
In2 In 0.3424 0.7143 0.1538
In3 In 0.6576 0.2857 0.8462
In4 In 0.7143 0.3424 0.6538
Sb1 Sb 0.0000 0.5000 0.0000
Sb2 Sb 0.2104 0.7896 0.7500
Sb3 Sb 0.5000 0.0000 0.5000
Sb4 Sb 0.7896 0.2104 0.2500
```

This record from the Alexandria database describes crystalline NdY6Tl at its relaxed geometry. The functional is PBE-GGA.

Results
The formation energy is -0.0698 eV per atom. For the offset from the most stable computed form, the calculation gives 0 meV/atom.

Cell and atoms, written as CIF:
```
data_NdY6Tl
_space_group_name_H-M_alt 'P 1'
_space_group_IT_number 1
_cell_length_a 4.9365
_cell_length_b 4.9365
_cell_length_c 10.1894
_cell_angle_alpha 90.00
_cell_angle_beta 90.00
_cell_angle_gamma 90.00
loop_
_space_group_symop_operation_xyz
'x,y,z'
loop_
_atom_site_label
_atom_site_type_symbol
_atom_site_fract_x
_atom_site_fract_y
_atom_site_fract_z
Nd1 Nd 0.0000 0.0000 0.0000
Y1 Y 0.0000 0.5000 0.2576
Y2 Y 0.0000 0.5000 0.7424
Y3 Y 0.5000 0.0000 0.2576
Y4 Y 0.5000 0.0000 0.7424
Y5 Y 0.5000 0.5000 0.0000
Y6 Y 0.5000 0.5000 0.5000
Tl1 Tl 0.0000 0.0000 0.5000
```